Density functional theory data (PBE) for crystalline Hf2Ti15Pb2 at its relaxed geometry.

Cell: 9.1300 9.1300 15.0584 Å, 90.00 90.00 120.00°
Space group R-3m (No. 166, hexagonal axes)
Symmetry-distinct sites (fractional):
1 Hf 0.0000 0.0000 0.0921 (multiplicity 6)
2 Ti 0.0000 0.3011 0.0000 (multiplicity 18)
3 Ti 0.0000 0.5000 0.5000 (multiplicity 9)
4 Ti 0.0382 0.5191 0.1362 (multiplicity 18)
5 Pb 0.0000 0.0000 0.3060 (multiplicity 6)

Results
* E: -7.341 eV/atom
* total magnetization: 5.6 μB per formula unit
* crystal system: trigonal

---

Density functional theory data (PBE) for crystalline Hf8TiPb2 at its relaxed geometry.

Cell: 7.606 13.881 5.319 Å, 90.00 115.81 90.00°
Space group C2/m (No. 12)
Symmetry-distinct sites (fractional):
1 Hf 0.000 0.206 0.000 (multiplicity 4)
2 Hf 0.105 0.500 0.793 (multiplicity 4)
3 Hf 0.210 0.105 0.671 (multiplicity 8)
4 Ti 0.000 0.000 0.000 (multiplicity 2)
5 Pb 0.000 0.302 0.500 (multiplicity 4)

Results
* E: -8.458 eV/atom
* total magnetization: 0.0 μB per formula unit
* crystal system: monoclinic

---

Density functional theory data (PBE) for crystalline Hf2Ti3Pb2 at its relaxed geometry.

Cell: 4.906 19.688 3.032 Å, 90.00 90.00 90.00°
Space group Cmmm (No. 65)
Symmetry-distinct sites (fractional):
1 Hf 0.000 0.073 0.000 (multiplicity 4)
2 Ti 0.000 0.217 0.000 (multiplicity 4)
3 Ti 0.000 0.500 0.000 (multiplicity 2)
4 Pb 0.000 0.354 0.500 (multiplicity 4)

Results
* total magnetization: 0.5 μB per formula unit
* polymorph energy (0 for the lowest one): 0.2988 eV per atom
* crystal system: orthorhombic

---

Density functional theory data (PBE) for crystalline Hf3Ti4Pb2 at its relaxed geometry.

Cell: 10.151 4.067 9.547 Å, 90.00 111.66 90.00°
Space group C2/m (No. 12)
Symmetry-distinct sites (fractional):
1 Hf 0.000 0.000 0.000 (multiplicity 2)
2 Hf 0.156 0.500 0.546 (multiplicity 4)
3 Ti 0.010 0.000 0.682 (multiplicity 4)
4 Ti 0.170 0.500 0.893 (multiplicity 4)
5 Pb 0.169 0.500 0.222 (multiplicity 4)

Results
* E: -7.652 eV/atom
* total magnetization: 0.0 μB per formula unit
* crystal system: monoclinic

---

Density functional theory data (PBE) for crystalline HfTl3Pb at its relaxed geometry.

Cell: 5.615 5.615 5.615 Å, 90.00 90.00 90.00°
Space group Pm-3m (No. 221)
Symmetry-distinct sites (fractional):
1 Hf 0.000 0.000 0.000 (multiplicity 1)
2 Tl 0.000 0.000 0.500 (multiplicity 3)
3 Pb 0.500 0.500 0.500 (multiplicity 1)

Results
* total magnetization: 0.0 μB per formula unit
* polymorph energy (0 for the lowest one): 0.0000 eV per atom
* crystal system: cubic

---

Density functional theory data (PBE) for crystalline HfTlPb at its relaxed geometry.

Cell: 3.751 3.751 11.965 Å, 90.00 90.00 90.00°
Space group P4/nmm (No. 129, origin choice 2)
Symmetry-distinct sites (fractional):
1 Hf 0.250 0.250 0.063 (multiplicity 2)
2 Tl 0.250 0.250 0.388 (multiplicity 2)
3 Pb 0.250 0.250 0.797 (multiplicity 2)

Results
* E: -5.286 eV/atom
* total magnetization: 0.0 μB per formula unit
* crystal system: tetragonal

---

Density functional theory data (PBE) for crystalline HfTl2Pb2 at its relaxed geometry.

Cell: 7.807 7.807 4.908 Å, 90.00 90.00 90.00°
Space group P4/mbm (No. 127)
Symmetry-distinct sites (fractional):
1 Hf 0.000 0.000 0.000 (multiplicity 2)
2 Tl 0.174 0.326 0.500 (multiplicity 4)
3 Pb 0.141 0.641 0.000 (multiplicity 4)

Results
* E: -4.025 eV/atom
* total magnetization: 0.0 μB per formula unit
* crystal system: tetragonal

---

Density functional theory data (PBE) for crystalline Hf9TlPb2 at its relaxed geometry.

Cell: 4.455 4.455 13.430 Å, 90.00 90.00 90.00°
Space group P4/mmm (No. 123)
Symmetry-distinct sites (fractional):
1 Hf 0.000 0.000 0.000 (multiplicity 1)
2 Hf 0.000 0.000 0.331 (multiplicity 2)
3 Hf 0.000 0.500 0.165 (multiplicity 4)
4 Hf 0.000 0.500 0.500 (multiplicity 2)
5 Tl 0.500 0.500 0.000 (multiplicity 1)
6 Pb 0.500 0.500 0.334 (multiplicity 2)

Results
* E: -8.278 eV/atom
* total magnetization: 0.0 μB per formula unit
* crystal system: tetragonal